Record 1
Below is a relaxed CsRbSnSe2 crystal, with properties calculated at the PBE-GGA level.

Lattice parameters (Å, degrees): 4.4257 7.8902 13.2157 105.29 90.00 106.29
Fractional positions:
Se1 0.5910 0.1821 0.3466
Sn1 0.9568 0.9136 0.7864
Se2 0.4090 0.8179 0.6534
Se3 0.8640 0.7281 0.1628
Cs1 0.3425 0.6849 0.3633
Rb1 0.6432 0.2864 0.0358
Sn2 0.0432 0.0864 0.2136
Se4 0.1360 0.2719 0.8372
Cs2 0.6575 0.3151 0.6367
Rb2 0.3568 0.7136 0.9642

Summary:
Uncorrected energy in eV/cell: -34.3
Energy relative to the elements, uncorrected in kJ/mol of formula units: -419.1
Magnetization in μB per formula unit: 0.00

=====

Record 2
Below is a relaxed Cs2RbSn2Se4 crystal, with properties calculated at the PBE-GGA level.

Lattice parameters (Å, degrees): 5.4554 9.3322 7.9594 106.77 90.00 106.99
Fractional positions:
Sn1 0.3243 0.6486 0.9811
Se1 0.7940 0.5881 0.8562
Se2 0.4513 0.9026 0.2447
Cs1 0.1322 0.2644 0.5632
Rb1 0.0000 0.0000 0.0000
Sn2 0.6757 0.3514 0.0189
Cs2 0.8678 0.7356 0.4368
Se3 0.2060 0.4119 0.1438
Se4 0.5487 0.0974 0.7553

Summary:
Uncorrected energy in eV/cell: -32.2
Energy relative to the elements, uncorrected in kJ/mol of formula units: -730.8
Magnetization in μB per formula unit: 0.00

=====

Record 3
Below is a relaxed CsRbSnSe3 crystal, with properties calculated at the PBE-GGA level.

Lattice parameters (Å, degrees): 7.2898 7.2898 10.7545 93.08 93.08 92.01
Fractional positions:
Rb1 0.7238 0.2762 0.5000
Se1 0.3076 0.9116 0.8156
Se2 0.6924 0.0884 0.1844
Sn1 0.1648 0.1648 0.7089
Cs1 0.8058 0.8058 0.8829
Cs2 0.1942 0.1942 0.1171
Se3 0.7672 0.7672 0.5073
Rb2 0.2762 0.7238 0.5000
Se4 0.2328 0.2328 0.4927
Se5 0.0884 0.6924 0.1844
Se6 0.9116 0.3076 0.8156
Sn2 0.8352 0.8352 0.2911

Summary:
Uncorrected energy in eV/cell: -42.4
Energy relative to the elements, uncorrected in kJ/mol of formula units: -473.0
Magnetization in μB per formula unit: 0.00

=====

Record 4
Below is a relaxed CsRb2TaSe4 crystal, with properties calculated at the PBE-GGA level.

Lattice parameters (Å, degrees): 9.5382 9.5382 9.5093 119.90 119.90 97.53
Fractional positions:
Ta1 0.5000 0.5000 0.5000
Se1 0.3366 0.6845 0.5106
Rb1 0.5000 0.5000 0.0000
Se2 0.2485 0.2515 0.0582
Cs1 0.0000 0.5000 0.5000
Rb2 0.5000 0.0000 0.5000
Ta2 0.0000 0.0000 0.0000
Se3 0.7515 0.7485 0.5582
Se4 0.2485 0.2515 0.4418
Cs2 0.0000 0.5000 0.0000
Se5 0.8155 0.1634 0.9894
Se6 0.1845 0.8366 0.0106
Se7 0.7515 0.7485 0.9418
Se8 0.6634 0.3155 0.4894
Rb3 0.0000 0.0000 0.5000
Rb4 0.5000 0.0000 0.0000

Summary:
Uncorrected energy in eV/cell: -71.2
Energy relative to the elements, uncorrected in kJ/mol of formula units: -678.3
Magnetization in μB per formula unit: 0.00

=====

Record 5
Below is a relaxed Cs2RbTaSe4 crystal, with properties calculated at the PBE-GGA level.

Lattice parameters (Å, degrees): 7.8825 8.0952 15.0332 82.67 74.80 60.87
Fractional positions:
Se1 0.2749 0.2042 0.9032
Ta1 0.2500 0.5000 0.5000
Se2 0.5209 0.2042 0.0968
Se3 0.3823 0.7958 0.0968
Se4 0.2291 0.2958 0.4032
Rb1 0.0000 0.0000 0.0000
Cs1 0.8071 0.0000 0.3858
Se5 0.3677 0.7042 0.4032
Cs2 0.1929 0.0000 0.6142
Cs3 0.9429 0.5000 0.1142
Ta2 0.5000 0.0000 0.0000
Se6 0.9281 0.7042 0.5968
Se7 0.4751 0.2958 0.5968
Rb2 0.7500 0.5000 0.5000
Se8 0.8219 0.7958 0.9032
Cs4 0.5571 0.5000 0.8858

Summary:
Uncorrected energy in eV/cell: -73.3
Energy relative to the elements, uncorrected in kJ/mol of formula units: -787.8
Magnetization in μB per formula unit: 0.00

=====

Record 6
Below is a relaxed CsRb2TcSe4 crystal, with properties calculated at the PBE-GGA level.

Lattice parameters (Å, degrees): 7.6148 7.6148 7.6148 110.86 108.78 108.78
Fractional positions:
Cs1 0.5000 0.2500 0.7500
Se1 0.3105 0.8013 0.8167
Tc1 0.0000 0.5000 0.5000
Se2 0.0154 0.5092 0.1987
Rb1 0.0000 0.0000 0.0000
Rb2 0.5000 0.7500 0.2500
Se3 0.6895 0.5062 0.4908
Se4 0.9846 0.1833 0.4938

Summary:
Uncorrected energy in eV/cell: -33.1
Energy relative to the elements, uncorrected in kJ/mol of formula units: -577.3
Magnetization in μB per formula unit: 2.01

=====

Repeat the sixth record exactly.
Below is a relaxed CsRb2TcSe4 crystal, with properties calculated at the PBE-GGA level.

Lattice parameters (Å, degrees): 7.6148 7.6148 7.6148 110.86 108.78 108.78
Fractional positions:
Cs1 0.5000 0.2500 0.7500
Se1 0.3105 0.8013 0.8167
Tc1 0.0000 0.5000 0.5000
Se2 0.0154 0.5092 0.1987
Rb1 0.0000 0.0000 0.0000
Rb2 0.5000 0.7500 0.2500
Se3 0.6895 0.5062 0.4908
Se4 0.9846 0.1833 0.4938

Summary:
Uncorrected energy in eV/cell: -33.1
Energy relative to the elements, uncorrected in kJ/mol of formula units: -577.3
Magnetization in μB per formula unit: 2.01

=====

> uncorrected energy of number 1 (CsRbSnSe2)?

-34.3 eV/cell